Entry A
Density functional theory data (GGA-PBEsol) for a relaxed Sc3P crystal.

a b c (Å): 3.5469 4.1316 5.2873
angles (deg): 90.00 90.00 90.00
Fractional positions:
Sc  0.5000  0.0000  0.4561
Sc  0.5000  0.5000  0.8857
Sc  0.0000  0.5000  0.3180
P  0.0000  0.0000  0.0069

crystal system: orthorhombic
DOS(E_F): 0.85 states/eV/atom



Entry B
Density functional theory data (GGA-PBEsol) for a relaxed Sc3P crystal.

a b c (Å): 4.9391 4.9391 4.9391
angles (deg): 90.00 90.00 90.00
Last column: magnetic moment on the atom in μB.
Fractional positions:
Sc  0.5000  0.0000  0.0000  0.46
Sc  0.0000  0.0000  0.5000  0.46
Sc  0.0000  0.5000  0.0000  0.46
P  0.0000  0.0000  0.0000  -0.02

crystal system: cubic
DOS(E_F): 1.76 states/eV/atom



Of them, entry A has the highest stability.



Entry A
Density functional theory data (GGA-PBEsol) for a relaxed Sc3P crystal.

a b c (Å): 5.6225 6.7769 8.2844
angles (deg): 90.00 90.00 90.00
Fractional positions:
Sc  0.1517  0.3250  0.0488
Sc  0.3483  0.8250  0.0488
Sc  0.3483  0.8250  0.4512
Sc  0.1517  0.3250  0.4512
Sc  0.6517  0.1750  0.5488
Sc  0.1313  0.0266  0.7500
Sc  0.8687  0.9734  0.2500
Sc  0.6313  0.4734  0.2500
Sc  0.8483  0.6750  0.5488
Sc  0.8483  0.6750  0.9512
Sc  0.6517  0.1750  0.9512
Sc  0.3687  0.5266  0.7500
P  0.0722  0.6222  0.2500
P  0.5722  0.8778  0.7500
P  0.4278  0.1222  0.2500
P  0.9278  0.3778  0.7500

crystal system: orthorhombic
DOS(E_F): 0.94 states/eV/atom



Entry B
Density functional theory data (GGA-PBEsol) for a relaxed Sc3P crystal.

a b c (Å): 4.1659 4.1659 4.1659
angles (deg): 90.00 90.00 90.00
Fractional positions:
P  0.0000  0.0000  0.0000
Sc  0.5000  0.0000  0.5000
Sc  0.5000  0.5000  0.0000
Sc  0.0000  0.5000  0.5000

crystal system: cubic
DOS(E_F): 1.47 states/eV/atom



Of them, entry A has the highest stability.



Entry A
Density functional theory data (GGA-PBEsol) for a relaxed Sc2PSe crystal.

a b c (Å): 3.6902 3.6902 6.8113
angles (deg): 74.28 74.28 60.00
Fractional positions:
Se  0.5013  0.5013  0.4961
Sc  0.9257  0.9257  0.2229
Sc  0.7414  0.7414  0.7759
P  0.3316  0.3316  0.0051

crystal system: trigonal
DOS(E_F): 0.50 states/eV/atom



Entry B
Density functional theory data (GGA-PBEsol) for a relaxed Sc2PSe crystal.

a b c (Å): 3.7615 3.7615 5.3037
angles (deg): 90.00 90.00 90.00
Fractional positions:
Se  0.5000  0.5000  0.0000
P  0.0000  0.0000  0.5000
Sc  0.5000  0.5000  0.5000
Sc  0.0000  0.0000  0.0000

crystal system: tetragonal
DOS(E_F): 0.36 states/eV/atom



Entry C
Density functional theory data (GGA-PBEsol) for a relaxed Sc2PSe crystal.

a b c (Å): 3.7434 3.7434 6.5940
angles (deg): 73.51 73.51 60.00
Fractional positions:
Se  0.5000  0.5000  0.5000
P  0.0000  0.0000  0.0000
Sc  0.2575  0.2575  0.2274
Sc  0.7425  0.7425  0.7726

crystal system: trigonal
DOS(E_F): 0.36 states/eV/atom



Of them, entry C has the highest stability.